# 1
# ScSnAsRh2

Crystalline ScSnAsRh2 at its relaxed geometry (PBE, the Alexandria database).

```
data_ScSnAsRh2
_chemical_formula_sum 'Sc1 Sn1 As1 Rh2'
_cell_length_a 4.6099
_cell_length_b 4.6099
_cell_length_c 4.9494
_cell_angle_alpha 90.00
_cell_angle_beta 90.00
_cell_angle_gamma 90.00
_space_group_name_H-M_alt 'P 4/m m m'
_space_group_IT_number 123
_space_group_name_Hall '-P 4 2'
loop_
_atom_site_label
_atom_site_type_symbol
_atom_site_fract_x
_atom_site_fract_y
_atom_site_fract_z
Sc1 Sc 0.0000 0.0000 0.0000
Sn1 Sn 0.5000 0.5000 0.0000
As1 As 0.0000 0.0000 0.5000
Rh1 Rh 0.0000 0.5000 0.5000
```

- energy relative to the elements (eV per formula unit) = -0.37
- total moment (μB per atom) = 0.00
- electronic total energy (eV per cell) = -30.1

---

# 2
# TbScAs2Rh5

Crystalline TbScAs2Rh5 at its relaxed geometry (PBE, the Alexandria database).

```
data_TbScAs2Rh5
_chemical_formula_sum 'Tb1 Sc1 As2 Rh5'
_cell_length_a 4.2064
_cell_length_b 4.2064
_cell_length_c 8.7099
_cell_angle_alpha 90.00
_cell_angle_beta 90.00
_cell_angle_gamma 90.00
_space_group_name_H-M_alt 'P 4/m m m'
_space_group_IT_number 123
_space_group_name_Hall '-P 4 2'
loop_
_atom_site_label
_atom_site_type_symbol
_atom_site_fract_x
_atom_site_fract_y
_atom_site_fract_z
Tb1 Tb 0.0000 0.0000 0.0000
Sc1 Sc 0.0000 0.0000 0.5000
As1 As 0.5000 0.5000 0.3588
Rh1 Rh 0.0000 0.5000 0.2371
Rh2 Rh 0.5000 0.5000 0.0000
```

- energy relative to the elements (eV per formula unit) = -6.31
- total moment (μB per atom) = 0.00
- electronic total energy (eV per cell) = -63.3